Below is an optimized crystal structure of Ta2Cr3Si, with properties calculated at the PBE level.

The structure in POSCAR format:
```
Ta2Cr3Si
1.0
-4.206 -1.792 -1.663
3.025 -2.847 2.531
-3.657 2.214 6.863
Cr Si Ta
6 2 4
Direct
0.172 0.344 0.250
0.344 0.172 0.750
0.828 0.656 0.750
0.172 0.828 0.250
0.828 0.172 0.750
0.656 0.828 0.250
0.000 0.000 0.500
0.000 0.000 0.000
0.667 0.333 0.435
0.333 0.667 0.565
0.333 0.667 0.935
0.667 0.333 0.065
```

## Properties
Calculated volume (Å³/atom): 13.8
Theoretical density (g/cm³): 10.9
Raw formation energy (meV/atom): -393.3
D(E_F) (states/eV/atom): 0.283

---

Below is an optimized crystal structure of Cs2YWSe, with properties calculated at the PBE level.

The structure in POSCAR format:
```
Cs2YWSe
1.0
6.955 0.000 0.000
0.000 5.418 0.000
0.000 0.000 6.955
Cs Y Se W
2 1 1 1
Direct
0.000 0.000 0.500
0.500 0.000 0.000
0.000 0.500 0.000
0.000 0.000 0.000
0.500 0.500 0.500
```

## Properties
Calculated volume (Å³/atom): 52.4
Theoretical density (g/cm³): 3.9
Raw formation energy (meV/atom): 897.0
D(E_F) (states/eV/atom): 0.383

---

Below is an optimized crystal structure of NdTm5Th4, with properties calculated at the PBE level.

The structure in POSCAR format:
```
NdTm5Th4
1.0
3.503 0.671 0.020
1.341 12.050 -1.798
1.794 -0.113 7.678
Nd Tm Th
1 5 4
Direct
0.500 0.000 0.000
0.303 0.400 0.594
0.100 0.799 0.201
0.900 0.201 0.799
0.500 0.500 0.000
0.697 0.600 0.406
0.694 0.103 0.408
0.099 0.301 0.200
0.306 0.897 0.592
0.901 0.699 0.800
```

## Properties
Calculated volume (Å³/atom): 31.4
Theoretical density (g/cm³): 10.1
D(E_F) (states/eV/atom): 1.397
E_tot (eV/atom): -5.65